[1]
AlNi2Pt8: relaxed, GGA-PBE.

Cell lengths 3.945, 5.569, 8.289 Å; angles 107.17, 103.77, 90.00 degrees
Atoms (fractional coordinates):
Pt1 0.393 0.555 0.787
Pt2 0.788 0.687 0.575
Pt3 0.023 0.749 0.046
Pt4 0.648 0.973 0.297
Pt5 0.607 0.445 0.213
Pt6 0.977 0.251 0.954
Pt7 0.352 0.027 0.703
Pt8 0.212 0.313 0.425
Ni1 0.189 0.751 0.378
Ni2 0.811 0.249 0.622
Al1 0.500 0.000 0.000

## Properties
* offset from the most stable computed form: 0 meV per atom
* D(E_F): 15.5 states/eV/cell
* SG: C2/m (12)

[2]
SiIrOs2: relaxed, GGA-PBE.

Cell lengths 8.495, 8.495, 8.495 Å; angles 18.81, 18.81, 18.81 degrees
Atoms (fractional coordinates):
Ir1 0.756 0.756 0.756
Os1 0.999 0.999 0.999
Os2 0.245 0.245 0.245
Si1 0.500 0.500 0.500

## Properties
* formation energy without anion corrections: -70 meV/atom
* D(E_F): 3.4 states/eV/cell
* SG: R3m (160)

[3]
Tm4MgPt: relaxed, GGA-PBE.

Cell lengths 9.638, 9.638, 9.638 Å; angles 60.00, 60.00, 60.00 degrees
Atoms (fractional coordinates):
Tm1 0.401 0.798 0.401
Tm2 0.816 0.184 0.184
Tm3 0.401 0.401 0.798
Tm4 0.939 0.561 0.939
Tm5 0.939 0.561 0.561
Tm6 0.184 0.816 0.184
Tm7 0.816 0.184 0.816
Tm8 0.561 0.561 0.939
Tm9 0.184 0.816 0.816
Tm10 0.561 0.939 0.939
Tm11 0.401 0.401 0.401
Tm12 0.561 0.939 0.561
Tm13 0.798 0.401 0.401
Tm14 0.184 0.184 0.816
Tm15 0.939 0.939 0.561
Tm16 0.816 0.816 0.184
Pt1 0.177 0.608 0.608
Pt2 0.608 0.608 0.177
Pt3 0.608 0.608 0.608
Pt4 0.608 0.177 0.608
Mg1 0.170 0.170 0.170
Mg2 0.170 0.491 0.170
Mg3 0.491 0.170 0.170
Mg4 0.170 0.170 0.491

## Properties
* offset from the most stable computed form: 0 meV per atom
* D(E_F): 28.4 states/eV/cell
* SG: F-43m (216)

[4]
SrMoRh: relaxed, GGA-PBE.

Cell lengths 4.771, 4.771, 4.771 Å; angles 60.00, 60.00, 60.00 degrees
Atoms (fractional coordinates):
Sr1 0.750 0.750 0.750
Mo1 0.000 0.000 0.000
Rh1 0.500 0.500 0.500

## Properties
* offset from the most stable computed form: 1401 meV per atom
* D(E_F): 2.8 states/eV/cell
* SG: F-43m (216)

[5]
Tl2Hg2Se: relaxed, GGA-PBE.

Cell lengths 7.859, 7.859, 5.237 Å; angles 90.00, 90.00, 90.00 degrees
Atoms (fractional coordinates):
Hg1 0.335 0.165 0.500
Hg2 0.165 0.665 0.500
Hg3 0.835 0.335 0.500
Hg4 0.665 0.835 0.500
Tl1 0.149 0.351 0.000
Tl2 0.851 0.649 0.000
Tl3 0.649 0.149 0.000
Tl4 0.351 0.851 0.000
Se1 0.500 0.500 0.000
Se2 0.000 0.000 0.000

## Properties
* offset from the most stable computed form: 114 meV per atom
* formation energy without anion corrections: -82 meV/atom
* D(E_F): 1.5 states/eV/cell
* SG: P4/mbm (127)

[6]
Ca2InAu9: relaxed, GGA-PBE.

Cell lengths 5.643, 5.643, 9.879 Å; angles 73.41, 73.41, 60.00 degrees
Atoms (fractional coordinates):
Ca1 0.138 0.138 0.587
Ca2 0.862 0.862 0.413
Au1 0.333 0.333 0.001
Au2 0.412 0.919 0.257
Au3 0.412 0.412 0.257
Au4 0.919 0.412 0.257
Au5 0.667 0.667 0.999
Au6 0.081 0.588 0.743
Au7 0.588 0.081 0.743
Au8 0.588 0.588 0.743
Au9 0.500 0.500 0.500
In1 0.000 0.000 0.000

## Properties
* D(E_F): 5.2 states/eV/cell
* calculated total energy: -3.370 eV/atom
* SG: R-3m (166)

[7]
PuTl4Hg12: relaxed, GGA-PBE.

Cell lengths 8.611, 8.611, 8.611 Å; angles 109.47, 109.47, 109.47 degrees
Atoms (fractional coordinates):
Hg1 0.309 0.000 0.309
Hg2 0.000 0.309 0.309
Hg3 0.750 0.500 0.250
Hg4 0.691 0.691 0.000
Hg5 0.309 0.309 0.000
Hg6 0.500 0.250 0.750
Hg7 0.250 0.750 0.500
Hg8 0.250 0.500 0.750
Hg9 0.500 0.750 0.250
Hg10 0.691 0.000 0.691
Hg11 0.750 0.250 0.500
Hg12 0.000 0.691 0.691
Tl1 0.500 0.000 0.000
Tl2 0.500 0.500 0.500
Tl3 0.000 0.500 0.000
Tl4 0.000 0.000 0.500
Pu1 0.000 0.000 0.000

## Properties
* D(E_F): 19.4 states/eV/cell
* calculated total energy: -1.588 eV/atom
* SG: Im-3m (229)

[8]
NbCoSe2: relaxed, GGA-PBE.

Cell lengths 4.476, 4.476, 4.476 Å; angles 60.00, 60.00, 60.00 degrees
Atoms (fractional coordinates):
Se1 0.250 0.250 0.250
Se2 0.750 0.750 0.750
Nb1 0.500 0.500 0.500
Co1 0.000 0.000 0.000

## Properties
* formation energy without anion corrections: -44 meV/atom
* D(E_F): 3.9 states/eV/cell
* SG: Fm-3m (225)

[9]
LiRe2Ru: relaxed, GGA-PBE.

Cell lengths 3.054, 3.054, 5.827 Å; angles 90.00, 90.00, 90.00 degrees
Atoms (fractional coordinates):
Re1 0.500 0.500 0.241
Re2 0.000 0.000 0.985
Ru1 0.000 0.000 0.531
Li1 0.500 0.500 0.743

## Properties
* offset from the most stable computed form: 103 meV per atom
* D(E_F): 2.9 states/eV/cell
* SG: P4mm (99)

[10]
La2NiRh: relaxed, GGA-PBE.

Cell lengths 5.027, 5.023, 3.614 Å; angles 90.00, 90.00, 90.00 degrees
Atoms (fractional coordinates):
Ni1 0.500 0.000 0.500
La1 0.500 0.500 0.000
La2 0.000 0.000 0.000
Rh1 0.000 0.500 0.500

## Properties
* D(E_F): 2.1 states/eV/cell
* calculated total energy: -6.215 eV/atom
* SG: P4/mmm (123)

[11]
Y5Cu4Au: relaxed, GGA-PBE.

Cell lengths 3.491, 3.491, 17.709 Å; angles 90.00, 90.00, 90.00 degrees
Atoms (fractional coordinates):
Au1 0.000 0.000 0.000
Y1 0.500 0.500 0.697
Y2 0.500 0.500 0.303
Y3 0.500 0.500 0.105
Y4 0.500 0.500 0.500
Y5 0.500 0.500 0.895
Cu1 0.000 0.000 0.795
Cu2 0.000 0.000 0.401
Cu3 0.000 0.000 0.205
Cu4 0.000 0.000 0.599

## Properties
* D(E_F): 4.8 states/eV/cell
* calculated total energy: -5.564 eV/atom
* SG: P4/mmm (123)

[12]
CaAlCu2: relaxed, GGA-PBE.

Cell lengths 4.695, 4.695, 8.960 Å; angles 74.81, 74.81, 90.00 degrees
Atoms (fractional coordinates):
Ca1 0.750 0.250 0.500
Ca2 0.000 0.000 0.000
Cu1 0.375 0.625 0.750
Cu2 0.375 0.125 0.250
Cu3 0.875 0.625 0.750
Cu4 0.375 0.625 0.250
Al1 0.500 0.500 0.000
Al2 0.250 0.750 0.500

## Properties
* D(E_F): 5.4 states/eV/cell
* calculated total energy: -3.449 eV/atom
* SG: I4_1/amd (141)